[1]
{
  "formula": "TcB2OsCl",
  "functional": "PBE",
  "state": "relaxed",
  "cell": [[4.038, 0.000, 0.000], [0.000, 4.038, 0.000], [0.000, 0.000, 5.240]],
  "species": ["Tc", "B", "B", "Os", "Cl"],
  "fractional_positions": [[0.000, 0.000, 0.000], [0.000, 0.500, 0.500], [0.500, 0.000, 0.500], [0.000, 0.000, 0.500], [0.500, 0.500, 0.000]],
  "dos_at_fermi_per_ev_fu": 3.6,
  "raw_formation_energy_ev_per_atom": 1.1454
}

[2]
{
  "formula": "Ta2IrPb",
  "functional": "PBE",
  "state": "relaxed",
  "cell": [[4.938, -1.530, 0.000], [4.938, 1.530, 0.000], [-1.287, 0.000, 4.978]],
  "species": ["Ta", "Ta", "Ir", "Pb"],
  "fractional_positions": [[0.238, 0.238, 0.224], [0.762, 0.762, 0.776], [0.500, 0.500, 0.000], [0.000, 0.000, 0.500]],
  "delta_e_f_mev_per_atom": 221,
  "dos_at_fermi_per_ev_fu": 4.0
}

[3]
{
  "formula": "V4B3",
  "functional": "PBE",
  "state": "relaxed",
  "cell": [[5.497, -1.482, 0.000], [5.497, 1.482, 0.000], [-0.891, 0.000, 4.395]],
  "species": ["V", "V", "V", "V", "B", "B", "B"],
  "fractional_positions": [[0.075, 0.075, 0.301], [0.336, 0.336, 0.164], [0.664, 0.664, 0.836], [0.925, 0.925, 0.699], [0.266, 0.266, 0.608], [0.500, 0.500, 0.000], [0.734, 0.734, 0.392]],
  "delta_e_f_mev_per_atom": -522,
  "dos_at_fermi_per_ev_fu": 4.0
}

[4]
{
  "formula": "Ta3V7Cr2",
  "functional": "PBE",
  "state": "relaxed",
  "cell": [[2.224, -13.372, 0.000], [2.224, 13.372, 0.000], [0.000, 0.000, 2.959]],
  "species": ["Ta", "Ta", "Ta", "V", "V", "V", "V", "V", "V", "V", "Cr", "Cr"],
  "fractional_positions": [[0.000, 0.000, 0.000], [0.171, 0.829, 0.000], [0.829, 0.171, 0.000], [0.084, 0.916, 0.500], [0.262, 0.738, 0.500], [0.417, 0.583, 0.000], [0.500, 0.500, 0.500], [0.583, 0.417, 0.000], [0.738, 0.262, 0.500], [0.916, 0.084, 0.500], [0.347, 0.653, 0.500], [0.653, 0.347, 0.500]],
  "delta_e_f_mev_per_atom": 156,
  "e_above_lowest_polymorph_mev_per_atom": 116,
  "dos_at_fermi_per_ev_fu": 16.4
}

[5]
{
  "formula": "ZnCd2Co",
  "functional": "PBE",
  "state": "relaxed",
  "cell": [[3.053, 0.000, 0.000], [0.000, 3.053, 0.000], [0.000, 0.000, 7.190]],
  "species": ["Zn", "Cd", "Cd", "Co"],
  "fractional_positions": [[0.000, 0.000, 0.000], [0.000, 0.000, 0.595], [0.500, 0.500, 0.272], [0.500, 0.500, 0.836]],
  "delta_e_f_mev_per_atom": 130,
  "dos_at_fermi_per_ev_fu": 2.2
}

[6]
{
  "formula": "Ti6Al3Cu",
  "functional": "PBE",
  "state": "relaxed",
  "cell": [[7.627, 0.000, 0.000], [0.000, 4.593, 0.000], [-3.408, 0.000, 9.187]],
  "species": ["Ti", "Ti", "Ti", "Ti", "Ti", "Ti", "Ti", "Ti", "Ti", "Ti", "Ti", "Ti", "Al", "Al", "Al", "Al", "Al", "Al", "Cu", "Cu"],
  "fractional_positions": [[0.005, 0.250, 0.159], [0.007, 0.250, 0.670], [0.202, 0.750, 0.139], [0.216, 0.250, 0.464], [0.389, 0.750, 0.930], [0.412, 0.250, 0.276], [0.588, 0.750, 0.724], [0.611, 0.250, 0.070], [0.784, 0.750, 0.536], [0.798, 0.250, 0.861], [0.993, 0.750, 0.330], [0.995, 0.750, 0.841], [0.192, 0.750, 0.630], [0.205, 0.250, 0.970], [0.401, 0.250, 0.765], [0.599, 0.750, 0.235], [0.795, 0.750, 0.030], [0.808, 0.250, 0.370], [0.405, 0.750, 0.437], [0.595, 0.250, 0.563]],
  "delta_e_f_mev_per_atom": -256,
  "dos_at_fermi_per_ev_fu": 9.9
}

[7]
{
  "formula": "MgSb2O2",
  "functional": "PBE",
  "state": "relaxed",
  "cell": [[-2.389, 2.389, 4.133], [2.389, -2.389, 4.133], [2.389, 2.389, -4.133]],
  "species": ["Mg", "Sb", "Sb", "O", "O"],
  "fractional_positions": [[0.000, 0.000, 0.000], [0.250, 0.750, 0.500], [0.750, 0.250, 0.500], [0.419, 0.419, 0.000], [0.581, 0.581, 0.000]],
  "e_above_lowest_polymorph_mev_per_atom": 1008,
  "dos_at_fermi_per_ev_fu": 1.9,
  "raw_formation_energy_ev_per_atom": 0.0111
}

[8]
{
  "formula": "Ac3HgGe4",
  "functional": "PBE",
  "state": "relaxed",
  "cell": [[-2.375, 3.147, 8.150], [2.375, -3.147, 8.150], [2.375, 3.147, -8.150]],
  "species": ["Ac", "Ac", "Ac", "Hg", "Ge", "Ge", "Ge", "Ge"],
  "fractional_positions": [[0.000, 0.000, 0.000], [0.314, 0.814, 0.500], [0.686, 0.186, 0.500], [0.500, 0.500, 0.000], [0.070, 0.374, 0.697], [0.323, 0.626, 0.697], [0.677, 0.374, 0.303], [0.930, 0.626, 0.303]],
  "delta_e_f_mev_per_atom": -522,
  "dos_at_fermi_per_ev_fu": 4.3
}

[9]
{
  "formula": "FeTe2RuN",
  "functional": "PBE",
  "state": "relaxed",
  "cell": [[5.089, 0.000, 0.000], [0.000, 5.089, 0.000], [0.000, 0.000, 3.347]],
  "species": ["Fe", "Te", "Te", "Ru", "N"],
  "fractional_positions": [[0.000, 0.000, 0.000], [0.000, 0.500, 0.000], [0.500, 0.000, 0.000], [0.500, 0.500, 0.500], [0.000, 0.000, 0.500]],
  "e_above_lowest_polymorph_mev_per_atom": 0,
  "dos_at_fermi_per_ev_fu": 3.8,
  "raw_formation_energy_ev_per_atom": 0.4977
}

[10]
{
  "formula": "Rb4PtO4",
  "functional": "PBE",
  "state": "relaxed",
  "cell": [[-4.197, 4.197, 2.830], [4.197, -4.197, 2.830], [4.197, 4.197, -2.830]],
  "species": ["Rb", "Rb", "Rb", "Rb", "Pt", "O", "O", "O", "O"],
  "fractional_positions": [[0.103, 0.707, 0.810], [0.293, 0.103, 0.396], [0.707, 0.897, 0.604], [0.897, 0.293, 0.190], [0.500, 0.500, 0.000], [0.275, 0.431, 0.706], [0.431, 0.725, 0.156], [0.569, 0.275, 0.844], [0.725, 0.569, 0.294]],
  "dos_at_fermi_per_ev_fu": 4.7,
  "raw_formation_energy_ev_per_atom": -1.0739
}

[11]
{
  "formula": "CaPbCl",
  "functional": "PBE",
  "state": "relaxed",
  "cell": [[0.000, 3.634, 3.634], [3.634, 0.000, 3.634], [3.634, 3.634, 0.000]],
  "species": ["Ca", "Pb", "Cl"],
  "fractional_positions": [[0.000, 0.000, 0.000], [0.500, 0.500, 0.500], [0.250, 0.250, 0.250]],
  "e_above_lowest_polymorph_mev_per_atom": 720,
  "dos_at_fermi_per_ev_fu": 4.0,
  "raw_formation_energy_ev_per_atom": -0.4596
}

[12]
{
  "formula": "MgNb2SbH",
  "functional": "PBE",
  "state": "relaxed",
  "cell": [[5.234, 0.000, 0.000], [0.000, 5.234, 0.000], [0.000, 0.000, 3.251]],
  "species": ["Mg", "Nb", "Nb", "Sb", "H"],
  "fractional_positions": [[0.000, 0.000, 0.000], [0.000, 0.500, 0.000], [0.500, 0.000, 0.000], [0.500, 0.500, 0.500], [0.000, 0.000, 0.500]],
  "e_above_lowest_polymorph_mev_per_atom": 989,
  "dos_at_fermi_per_ev_fu": 5.4
}

Number 1: theoretical density 6.712 g cm⁻³, E -31.07 eV for the cell shown. Number 2: theoretical density 16.808 g cm⁻³, E -35.39 eV for the cell shown. Number 3: theoretical density 5.479 g cm⁻³, E -60.16 eV for the cell shown. Number 4: theoretical density 9.468 g cm⁻³, E -116.76 eV for the cell shown. Number 5: theoretical density 8.649 g cm⁻³, E -9.69 eV for the cell shown. Number 6: theoretical density 4.455 g cm⁻³, E -130.52 eV for the cell shown. Number 7: theoretical density 5.275 g cm⁻³, E -19.70 eV for the cell shown. Number 8: theoretical density 7.986 g cm⁻³, E -35.27 eV for the cell shown. Number 9: theoretical density 8.164 g cm⁻³, E -29.86 eV for the cell shown. Number 10: theoretical density 5.005 g cm⁻³, E -39.41 eV for the cell shown. Number 11: theoretical density 4.893 g cm⁻³, E -8.94 eV for the cell shown. Number 12: theoretical density 6.207 g cm⁻³, E -24.23 eV for the cell shown.